Entry 1:
The following is a DFT calculation (PBE) of a relaxed structure of AcLuHgPd.

a b c (Å): 5.3197 5.3197 5.3197
angles (deg): 60.00 60.00 60.00
With the nearest neighbours (Å) after each atom.
Element x y z (fractional)
Pd 0.0000 0.0000 0.0000  4 Ac 3.26, 4 Lu 3.26
Hg 0.5000 0.5000 0.5000  4 Ac 3.26, 4 Lu 3.26
Lu 0.7500 0.7500 0.7500  4 Hg 3.26, 4 Pd 3.26
Ac 0.2500 0.2500 0.2500  4 Hg 3.26, 4 Pd 3.26

Properties
The value obtained for the formation energy is -12.22 kcal/mol of atoms. As for the symmetry: F-43m (216).

Entry 2:
The following is a DFT calculation (PBE) of a relaxed structure of AcLuHgPt.

a b c (Å): 5.2948 5.2948 5.2948
angles (deg): 60.00 60.00 60.00
With the nearest neighbours (Å) after each atom.
Element x y z (fractional)
Lu 0.2500 0.2500 0.2500  4 Hg 3.24, 4 Pt 3.24
Hg 0.5000 0.5000 0.5000  4 Ac 3.24, 4 Lu 3.24
Pt 0.0000 0.0000 0.0000  4 Lu 3.24, 4 Ac 3.24
Ac 0.7500 0.7500 0.7500  4 Pt 3.24, 4 Hg 3.24

Properties
The value obtained for the formation energy is -15.68 kcal/mol of atoms. As for the symmetry: F-43m (216).

Entry 3:
The following is a DFT calculation (PBE) of a relaxed structure of AcLuHgSb.

a b c (Å): 5.5144 5.5144 5.5144
angles (deg): 60.00 60.00 60.00
With the nearest neighbours (Å) after each atom.
Element x y z (fractional)
Hg 0.5000 0.5000 0.5000  4 Lu 3.38, 4 Ac 3.38
Ac 0.2500 0.2500 0.2500  4 Hg 3.38, 4 Sb 3.38
Lu 0.7500 0.7500 0.7500  4 Sb 3.38, 4 Hg 3.38
Sb 0.0000 0.0000 0.0000  4 Ac 3.38, 4 Lu 3.38

Properties
As for the symmetry: F-43m (216). The energy relative to the elements, uncorrected is -0.5414 eV/atom.

Entry 4:
The following is a DFT calculation (PBE) of a relaxed structure of AcLuSnHg.

a b c (Å): 5.5014 5.5014 5.5014
angles (deg): 60.00 60.00 60.00
With the nearest neighbours (Å) after each atom.
Element x y z (fractional)
Hg 0.7500 0.7500 0.7500  4 Ac 3.37, 4 Lu 3.37
Ac 0.0000 0.0000 0.0000  4 Hg 3.37, 4 Sn 3.37
Lu 0.5000 0.5000 0.5000  4 Sn 3.37, 4 Hg 3.37
Sn 0.2500 0.2500 0.2500  4 Ac 3.37, 4 Lu 3.37

Properties
The value obtained for the formation energy is -10.77 kcal/mol of atoms. As for the symmetry: F-43m (216).

Entry 5:
The following is a DFT calculation (PBE) of a relaxed structure of AcLuThHg.

a b c (Å): 5.5708 5.5708 5.5708
angles (deg): 60.00 60.00 60.00
With the nearest neighbours (Å) after each atom.
Element x y z (fractional)
Th 0.0000 0.0000 0.0000  4 Ac 3.41, 4 Hg 3.41
Ac 0.7500 0.7500 0.7500  4 Th 3.41, 4 Lu 3.41
Lu 0.5000 0.5000 0.5000  4 Hg 3.41, 4 Ac 3.41
Hg 0.2500 0.2500 0.2500  4 Th 3.41, 4 Lu 3.41

Properties
The value obtained for the formation energy is 3.43 kcal/mol of atoms. As for the symmetry: F-43m (216).

Entry 6:
The following is a DFT calculation (PBE) of a relaxed structure of AcTmLuHg.

a b c (Å): 5.5187 5.5187 5.5187
angles (deg): 60.00 60.00 60.00
With the nearest neighbours (Å) after each atom.
Element x y z (fractional)
Lu 0.5000 0.5000 0.5000  4 Hg 3.38, 4 Ac 3.38
Tm 0.0000 0.0000 0.0000  4 Hg 3.38, 4 Ac 3.38
Hg 0.2500 0.2500 0.2500  4 Lu 3.38, 4 Tm 3.38
Ac 0.7500 0.7500 0.7500  4 Tm 3.38, 4 Lu 3.38

Properties
The value obtained for the formation energy is 2.37 kcal/mol of atoms. As for the symmetry: F-43m (216).

Entry 7:
The following is a DFT calculation (PBE) of a relaxed structure of AcYLuHg.

a b c (Å): 5.5495 5.5495 5.5495
angles (deg): 60.00 60.00 60.00
With the nearest neighbours (Å) after each atom.
Element x y z (fractional)
Ac 0.2500 0.2500 0.2500  4 Y 3.40, 4 Lu 3.40
Y 0.5000 0.5000 0.5000  4 Hg 3.40, 4 Ac 3.40
Hg 0.7500 0.7500 0.7500  4 Y 3.40, 4 Lu 3.40
Lu 0.0000 0.0000 0.0000  4 Ac 3.40, 4 Hg 3.40

Properties
The value obtained for the formation energy is 1.89 kcal/mol of atoms. As for the symmetry: F-43m (216).

Entry 8:
The following is a DFT calculation (PBE) of a relaxed structure of AcMg4Hg8.

a b c (Å): 6.2160 7.6943 7.6943
angles (deg): 80.61 66.18 66.18
With the nearest neighbours (Å) after each atom.
Element x y z (fractional)
Hg 0.5000 0.7815 0.2185  4 Mg 2.95, 4 Hg 3.08-3.22
Hg 0.7185 0.7815 0.7815  4 Mg 2.95, 4 Hg 3.08-3.22
Hg 0.2815 0.2185 0.2185  4 Mg 2.95, 4 Hg 3.08-3.22
Hg 0.0000 0.6591 0.3409  4 Mg 3.07, 5 Hg 3.17-3.34, 1 Ac 3.39
Hg 0.6591 0.3409 0.3409  4 Mg 3.07, 5 Hg 3.17-3.34, 1 Ac 3.39
Hg 0.5000 0.2185 0.7815  4 Mg 2.95, 4 Hg 3.08-3.22
Hg 0.0000 0.3409 0.6591  4 Mg 3.07, 5 Hg 3.17-3.34, 1 Ac 3.39
Hg 0.3409 0.6591 0.6591  4 Mg 3.07, 5 Hg 3.17-3.34, 1 Ac 3.39
Mg 0.0000 0.5000 0.0000  8 Hg 2.95-3.07, 2 Mg 3.11
Mg 0.5000 0.5000 0.0000  8 Hg 2.95-3.07, 2 Mg 3.11
Mg 0.0000 0.0000 0.5000  8 Hg 2.95-3.07, 2 Mg 3.11
Mg 0.5000 0.0000 0.5000  8 Hg 2.95-3.07, 2 Mg 3.11
Ac 0.0000 0.0000 0.0000  12 Hg 3.39-3.79

Properties
The value obtained for the formation energy is -5.84 kcal/mol of atoms. As for the symmetry: I4/mmm (139).

| no. | DFT total energy (eV/atom) |
| --- | --- |
| 1 | -4.061 |
| 2 | -4.423 |
| 3 | -3.805 |
| 4 | -3.701 |
| 5 | -3.939 |
| 6 | -3.248 |
| 7 | -3.767 |
| 8 | -1.246 |